[1]
TbPm6Ho2Sc after structural relaxation. Source: Alexandria via LeMat-Bulk, functional GGA-PBE.

## Properties
**Formation energy from the elements**: 0.127 eV/atom
**Calculated volume**: 328 Å³/f.u.

Unit cell a=9.416 b=8.889 c=8.889 alpha=117.54 beta=93.39 gamma=93.39
Fractional positions:
Pm1 0.613 0.488 0.710
Pm2 0.306 0.005 0.440
Pm3 0.448 0.235 0.878
Pm4 0.806 0.440 0.005
Pm5 0.387 0.512 0.290
Pm6 0.887 0.290 0.512
Pm7 0.194 0.560 0.995
Pm8 0.552 0.765 0.122
Pm9 0.948 0.878 0.235
Pm10 0.694 0.995 0.560
Pm11 0.113 0.710 0.488
Pm12 0.052 0.122 0.765
Ho1 0.952 0.696 0.795
Ho2 0.048 0.304 0.205
Ho3 0.548 0.205 0.304
Ho4 0.452 0.795 0.696
Tb1 0.750 0.026 0.974
Tb2 0.250 0.974 0.026
Sc1 0.750 0.581 0.419
Sc2 0.250 0.419 0.581

---

[2]
Cd2AgPb after structural relaxation. Source: Alexandria via LeMat-Bulk, functional GGA-PBE.

## Properties
**Formation energy from the elements**: 0.024 eV/atom
**Calculated volume**: 95 Å³/f.u.

Unit cell a=3.335 b=3.440 c=8.250 alpha=90.00 beta=90.00 gamma=90.00
Fractional positions:
Ag1 0.500 0.500 0.750
Cd1 0.000 0.000 0.543
Cd2 0.000 0.000 0.957
Pb1 0.500 0.500 0.250

---

[3]
NpAsO after structural relaxation. Source: Alexandria via LeMat-Bulk, functional GGA-PBE.

## Properties
**Uncorrected formation energy**: -0.78 eV per atom
**Calculated volume**: 58 Å³/f.u.

Unit cell a=4.339 b=4.339 c=4.339 alpha=60.00 beta=60.00 gamma=60.00
Last column: magnetic moment on the atom in μB.
Fractional positions:
Np1 0.250 0.250 0.250  2.63
O1 0.500 0.500 0.500  -0.24
As1 0.000 0.000 0.000  -0.23